The following is a DFT calculation (GGA+U) of LaDyCr2O8 after structural relaxation.

Structure (POSCAR):
```
LaDyCr2O8
1.0
-3.598 -0.592 -4.917
6.041 -0.272 -0.949
-1.343 -4.732 3.644
Cr Dy O La
2 1 8 1
Direct
0.500 0.500 0.000
0.750 0.250 0.500
0.000 0.000 0.000
0.325 0.148 0.823
0.325 0.502 0.177
0.852 0.675 0.177
0.772 0.086 0.686
0.498 0.675 0.823
0.399 0.086 0.314
0.914 0.228 0.314
0.914 0.601 0.686
0.250 0.750 0.500
```

- DOS(E_F) (states/eV/f.u.) = 0.83
- raw total energy (eV per atom) = -7.67
- calculated density (g/cm³) = 5.1